# 1
Here is an optimized crystal structure of BC from Alexandria via LeMat-Bulk. Energies are from GGA-PBE.

The structure belongs to space group Cm (No. 8); the cell edges are 8.738, 2.640 and 8.073 Å and the angles 90.00°, 114.54° and 90.00°. Symmetry generates all atoms from B at (0.000, 0.000, 0.000), B at (0.003, 0.500, 0.167), B at (0.268, 0.500, 0.953), B at (0.333, 0.500, 0.317), B at (0.354, 0.500, 0.759), B at (0.469, 0.000, 0.575), C at (0.010, 0.000, 0.507), C at (0.165, 0.500, 0.354), C at (0.166, 0.000, 0.462), C at (0.187, 0.000, 0.990), C at (0.327, 0.000, 0.654) and C at (0.329, 0.000, 0.187).

Its energy above the most stable polymorph in this dataset is 241.2 meV/atom.



# 2
Here is an optimized crystal structure of BC from Alexandria via LeMat-Bulk. Energies are from GGA-PBE.

The structure belongs to space group Cm (No. 8); the cell edges are 11.234, 2.656 and 5.430 Å and the angles 90.00°, 98.15° and 90.00°. Symmetry generates all atoms from B at (0.000, 0.000, 0.000), B at (0.010, 0.000, 0.518), B at (0.151, 0.500, 0.311), B at (0.279, 0.000, 0.404), B at (0.315, 0.000, 0.121), B at (0.393, 0.500, 0.272), C at (0.079, 0.500, 0.038), C at (0.090, 0.500, 0.561), C at (0.161, 0.500, 0.825), C at (0.240, 0.000, 0.861), C at (0.334, 0.000, 0.686) and C at (0.410, 0.500, 0.727).

Its energy above the most stable polymorph in this dataset is 289.0 meV/atom.



# 3
Here is an optimized crystal structure of B7C5 from Alexandria via LeMat-Bulk. Energies are from GGA-PBE.

The structure belongs to space group Cm (No. 8); the cell edges are 14.457, 2.705 and 4.465 Å and the angles 90.00°, 104.07° and 90.00°. Symmetry generates all atoms from B at (0.000, 0.000, 0.000), B at (0.004, 0.500, 0.339), B at (0.140, 0.500, 0.630), B at (0.284, 0.000, 0.923), B at (0.321, 0.500, 0.463), B at (0.432, 0.500, 0.262), B at (0.446, 0.000, 0.654), C at (0.118, 0.000, 0.089), C at (0.119, 0.500, 0.269), C at (0.161, 0.000, 0.814), C at (0.321, 0.500, 0.117) and C at (0.334, 0.000, 0.633).

Its energy above the most stable polymorph in this dataset is 239.8 meV/atom.



# 4
Here is an optimized crystal structure of B7C5 from Alexandria via LeMat-Bulk. Energies are from GGA-PBE.

The structure belongs to space group Cm (No. 8); the cell edges are 14.754, 2.713 and 4.901 Å and the angles 90.00°, 94.96° and 90.00°. Symmetry generates all atoms from B at (0.000, 0.000, 0.000), B at (0.002, 0.500, 0.499), B at (0.210, 0.500, 0.886), B at (0.214, 0.000, 0.429), B at (0.220, 0.000, 0.094), B at (0.331, 0.000, 0.198), B at (0.383, 0.000, 0.732), C at (0.229, 0.500, 0.586), C at (0.338, 0.500, 0.619), C at (0.379, 0.500, 0.307), C at (0.488, 0.500, 0.327) and C at (0.489, 0.000, 0.829).

Its energy above the most stable polymorph in this dataset is 240.8 meV/atom.



# 5
Here is an optimized crystal structure of BC from Alexandria via LeMat-Bulk. Energies are from GGA-PBE.

The structure belongs to space group P1 (No. 1); the cell edges are 3.798, 4.446 and 4.525 Å and the angles 76.96°, 65.79° and 70.42°. Symmetry generates all atoms from B at (0.000, 0.000, 0.000), B at (0.124, 0.200, 0.541), B at (0.295, 0.913, 0.278), B at (0.555, 0.271, 0.183), B at (0.828, 0.844, 0.650), C at (0.008, 0.657, 0.972), C at (0.400, 0.101, 0.799), C at (0.400, 0.421, 0.852), C at (0.648, 0.584, 0.254) and C at (0.753, 0.518, 0.574).

Its energy above the most stable polymorph in this dataset is 270.5 meV/atom.



# 6
Here is an optimized crystal structure of B3C from Alexandria via LeMat-Bulk. Energies are from GGA-PBE.

The structure belongs to space group C2/m (No. 12); the cell edges are 7.820, 2.694 and 5.765 Å and the angles 90.00°, 92.51° and 90.00°. Symmetry generates all atoms from B at (0.005, 0.000, 0.348), B at (0.074, 0.500, 0.129), B at (0.136, 0.500, 0.770) and C at (0.172, 0.000, 0.210).

Its energy above the most stable polymorph in this dataset is 51.7 meV/atom.



# 7
Here is an optimized crystal structure of B7C5 from Alexandria via LeMat-Bulk. Energies are from GGA-PBE.

The structure belongs to space group Cm (No. 8); the cell edges are 14.240, 2.674 and 4.795 Å and the angles 90.00°, 109.10° and 90.00°. Symmetry generates all atoms from B at (0.000, 0.000, 0.000), B at (0.011, 0.500, 0.374), B at (0.098, 0.000, 0.493), B at (0.111, 0.000, 0.947), B at (0.158, 0.500, 0.775), B at (0.325, 0.000, 0.887), B at (0.342, 0.500, 0.319), C at (0.182, 0.000, 0.308), C at (0.244, 0.500, 0.409), C at (0.269, 0.500, 0.758), C at (0.391, 0.000, 0.279) and C at (0.447, 0.000, 0.023).

Its energy above the most stable polymorph in this dataset is 222.7 meV/atom.



# 8
Here is an optimized crystal structure of BC from Alexandria via LeMat-Bulk. Energies are from GGA-PBE.

The structure belongs to space group Pm (No. 6); the cell edges are 4.877, 2.520 and 6.723 Å and the angles 90.00°, 93.01° and 90.00°. Symmetry generates all atoms from B at (0.000, 0.000, 0.000), B at (0.049, 0.000, 0.340), B at (0.131, 0.500, 0.737), B at (0.348, 0.000, 0.613), B at (0.489, 0.500, 0.050), B at (0.806, 0.500, 0.401), C at (0.170, 0.500, 0.974), C at (0.361, 0.000, 0.368), C at (0.504, 0.500, 0.296), C at (0.669, 0.000, 0.719), C at (0.676, 0.000, 0.948) and C at (0.807, 0.500, 0.640).

Its energy above the most stable polymorph in this dataset is 228.6 meV/atom.



no.,raw total energy (eV per atom),ΔH_f (0 K) (eV per atom)
1,-7.559,0.3921
2,-7.511,0.4398
3,-7.334,0.4042
4,-7.333,0.4052
5,-7.529,0.4213
6,-7.022,0.2923
7,-7.351,0.3872
8,-7.571,0.3794